This record from Alexandria describes crystalline Te3C4 at its relaxed geometry. The functional is PBE.

For the size of the total moment, the calculation gives 0.0 Bohr magnetons per cell. Its space group is P6/mmm, No. 191. As for the energy relative to the elements, uncorrected: 1.815 eV per atom. The density of states at the Fermi level is 1.82 states/eV/cell. The density comes out at 5.7 g/cm³.

Unit cell a=7.168 b=7.168 c=2.804 alpha=90.00 beta=90.00 gamma=120.00
Fractional positions:
Te 0.500 0.000 0.000
Te 0.000 0.500 0.000
C 0.000 0.000 0.736
Te 0.500 0.500 0.000
C 0.000 0.000 0.264
C 0.333 0.667 0.500
C 0.667 0.333 0.500


This record from Alexandria describes crystalline TeC2 at its relaxed geometry. The functional is PBE.

For the size of the total moment, the calculation gives 0.0 Bohr magnetons per cell. Its space group is Pnnm, No. 58. As for the energy relative to the elements, uncorrected: 1.424 eV per atom. The density of states at the Fermi level is 1.43 states/eV/cell. The density comes out at 6.4 g/cm³.

Unit cell a=3.458 b=4.261 c=5.378 alpha=90.00 beta=90.00 gamma=90.00
Fractional positions:
C 0.000 0.868 0.424
C 0.000 0.132 0.576
Te 0.000 0.000 0.000
Te 0.500 0.500 0.500
C 0.500 0.632 0.924
C 0.500 0.368 0.076


This record from Alexandria describes crystalline Te2C at its relaxed geometry. The functional is PBE.

For the size of the total moment, the calculation gives 0.0 Bohr magnetons per cell. Its space group is P4/mmm, No. 123. As for the energy relative to the elements, uncorrected: 1.356 eV per atom. The density of states at the Fermi level is 1.59 states/eV/cell. The density comes out at 7.3 g/cm³.

Unit cell a=3.485 b=3.485 c=4.997 alpha=90.00 beta=90.00 gamma=90.00
Fractional positions:
Te 0.500 0.500 0.000
Te 0.000 0.000 0.500
C 0.000 0.000 0.000


This record from Alexandria describes crystalline Te2C at its relaxed geometry. The functional is PBE.

For the size of the total moment, the calculation gives 0.0 Bohr magnetons per cell. Its space group is R3m, No. 160. As for the energy relative to the elements, uncorrected: 1.311 eV per atom. The density of states at the Fermi level is 2.79 states/eV/cell. The density comes out at 6.3 g/cm³.

Unit cell a=7.525 b=7.525 c=7.525 alpha=25.58 beta=25.58 gamma=25.58
Fractional positions:
C 0.975 0.975 0.975
Te 0.590 0.590 0.590
Te 0.768 0.768 0.768


This record from Alexandria describes crystalline TeC2 at its relaxed geometry. The functional is PBE.

For the size of the total moment, the calculation gives 0.0 Bohr magnetons per cell. Its space group is I4_1/amd, No. 141. As for the energy relative to the elements, uncorrected: 2.055 eV per atom. The density of states at the Fermi level is 2.04 states/eV/cell. The density comes out at 3.9 g/cm³.

Unit cell a=10.347 b=10.347 c=10.347 alpha=159.95 beta=159.95 gamma=28.50
Fractional positions:
C 0.467 0.467 0.000
C 0.217 0.717 0.500
Te 0.750 0.250 0.500
C 0.533 0.533 0.000
Te 0.000 0.000 0.000
C 0.283 0.783 0.500


This record from Alexandria describes crystalline TeC2 at its relaxed geometry. The functional is PBE.

For the size of the total moment, the calculation gives 0.1 Bohr magnetons per cell. Its space group is P-62m, No. 189. As for the energy relative to the elements, uncorrected: 0.919 eV per atom. The density of states at the Fermi level is 2.93 states/eV/cell. The density comes out at 2.5 g/cm³.

Unit cell a=11.591 b=11.591 c=2.607 alpha=90.00 beta=90.00 gamma=120.00
Fractional positions:
C 0.332 0.000 0.500
C 0.334 0.000 0.000
Te 0.000 0.000 0.500
C 0.666 0.666 0.000
C 0.000 0.334 0.000
Te 0.667 0.333 0.000
Te 0.333 0.667 0.000
C 0.000 0.332 0.500
C 0.668 0.668 0.500


This record from Alexandria describes crystalline Te2C at its relaxed geometry. The functional is PBE.

For the size of the total moment, the calculation gives 0.0 Bohr magnetons per cell. Its space group is C2/m, No. 12. As for the energy relative to the elements, uncorrected: 1.030 eV per atom. The density of states at the Fermi level is 3.94 states/eV/cell. The density comes out at 4.8 g/cm³.

Unit cell a=8.609 b=8.609 c=8.596 alpha=51.39 beta=51.39 gamma=22.23
Fractional positions:
Te 0.276 0.276 0.294
Te 0.025 0.025 0.198
C 0.609 0.609 0.019
Te 0.724 0.724 0.706
Te 0.975 0.975 0.802
C 0.391 0.391 0.981


This record from Alexandria describes crystalline Te2C at its relaxed geometry. The functional is PBE.

For the size of the total moment, the calculation gives 0.0 Bohr magnetons per cell. Its space group is P4_2/mnm, No. 136. As for the energy relative to the elements, uncorrected: 1.424 eV per atom. The density of states at the Fermi level is 4.45 states/eV/cell. The density comes out at 5.5 g/cm³.

Unit cell a=7.235 b=7.235 c=3.098 alpha=90.00 beta=90.00 gamma=90.00
Fractional positions:
Te 0.163 0.163 0.000
C 0.500 0.500 0.000
Te 0.837 0.837 0.000
Te 0.663 0.337 0.500
Te 0.337 0.663 0.500
C 0.000 0.000 0.500


This record from Alexandria describes crystalline TeC2 at its relaxed geometry. The functional is PBE.

For the size of the total moment, the calculation gives 0.0 Bohr magnetons per cell. Its space group is R-3m, No. 166. As for the energy relative to the elements, uncorrected: 2.788 eV per atom. The density of states at the Fermi level is 1.44 states/eV/cell. The density comes out at 6.3 g/cm³.

Unit cell a=4.636 b=4.636 c=4.636 alpha=41.93 beta=41.93 gamma=41.93
Fractional positions:
C 0.234 0.234 0.234
C 0.766 0.766 0.766
Te 0.000 0.000 0.000


This record from Alexandria describes crystalline TeC at its relaxed geometry. The functional is PBE.

For the size of the total moment, the calculation gives 0.0 Bohr magnetons per cell. Its space group is Fd-3m, No. 227. As for the energy relative to the elements, uncorrected: 2.918 eV per atom. The density of states at the Fermi level is 3.71 states/eV/cell. The density comes out at 6.5 g/cm³.

Unit cell a=4.649 b=4.649 c=4.649 alpha=60.00 beta=60.00 gamma=60.00
Fractional positions:
C 0.250 0.250 0.250
Te 0.500 0.500 0.500
C 0.000 0.000 0.000
Te 0.750 0.750 0.750


This record from Alexandria describes crystalline TeC2 at its relaxed geometry. The functional is PBE.

For the size of the total moment, the calculation gives 0.0 Bohr magnetons per cell. Its space group is Fd-3m, No. 227. As for the energy relative to the elements, uncorrected: 3.436 eV per atom. The density of states at the Fermi level is 2.88 states/eV/cell. The density comes out at 6.3 g/cm³.

Unit cell a=4.827 b=4.827 c=4.827 alpha=60.00 beta=60.00 gamma=60.00
Fractional positions:
C 0.625 0.125 0.125
C 0.125 0.625 0.125
Te 0.500 0.500 0.500
C 0.125 0.125 0.125
Te 0.750 0.750 0.750
C 0.125 0.125 0.625


This record from Alexandria describes crystalline TeC at its relaxed geometry. The functional is PBE.

For the size of the total moment, the calculation gives 0.0 Bohr magnetons per cell. Its space group is Cmcm, No. 63. As for the energy relative to the elements, uncorrected: 0.756 eV per atom. The density of states at the Fermi level is 0.99 states/eV/cell. The density comes out at 4.2 g/cm³.

Unit cell a=12.870 b=12.870 c=2.693 alpha=90.00 beta=90.00 gamma=165.54
Fractional positions:
Te 0.172 0.828 0.250
C 0.500 0.500 0.750
Te 0.828 0.172 0.750
C 0.500 0.500 0.250


Energy values, unit Ry per atom, following the record order: -0.3529 -0.4243 -0.2802 -0.2836 -0.3779 -0.4614 -0.3042 -0.2753 -0.3240 -0.2400 -0.2764 -0.3989.